Material: ZrMoF2
Method: DFT, PBE+U
State: relaxed

As for the total magnetic moment: 13.7 μB per cell. As for the electronic total energy: -5.48 eV per atom. The calculation puts the volume at 15.477 Å³/atom.

a = 6.2796 Å, b = 6.2796 Å, c = 6.2796 Å
α = 90.00°, β = 90.00°, γ = 90.00°
Last column: nearest neighbours and their distance in Å.
Space group Fm-3m (No. 225)
Unique sites:
Zr: 0.0000 0.0000 0.0000  8 F 2.72
Mo: 0.0000 0.0000 0.5000  8 F 2.72
F: 0.2500 0.2500 0.2500  4 Zr 2.72, 4 Mo 2.72